# 1
Entry from the Alexandria database: an optimized crystal structure of In12Ga3Pb (PBE).

Formation energy, eV/atom: 0.03
Crystal system: monoclinic

CIF file:
```
data_In12Ga3Pb
_chemical_formula_sum 'In12 Ga3 Pb1'
_symmetry_space_group_name_H-M 'P 1 2/m 1'
_symmetry_Int_Tables_number 10
_cell_length_a 4.277
_cell_length_b 19.222
_cell_length_c 5.077
_cell_angle_alpha 90.00
_cell_angle_beta 90.06
_cell_angle_gamma 90.00
loop_
_symmetry_equiv_pos_as_xyz
'x,y,z'
'-x,-y,-z'
'-x,y,-z'
'x,-y,z'
loop_
_atom_site_label
_atom_site_fract_x
_atom_site_fract_y
_atom_site_fract_z
_atom_site_occupancy
In1 0.000 0.000 0.000 1
In2 0.000 0.121 0.500 1
In3 0.000 0.245 0.000 1
In4 0.000 0.360 0.500 1
In5 0.000 0.500 0.000 1
In6 0.500 0.123 0.000 1
In7 0.500 0.371 0.000 1
Ga1 0.500 0.000 0.500 1
Ga2 0.500 0.240 0.500 1
Pb1 0.500 0.500 0.500 1
```



# 2
Entry from the Alexandria database: an optimized crystal structure of CdSiO (PBE).

Crystal system: hexagonal
Energy relative to the lowest polymorph listed for this composition, meV per atom: 97
E_form (uncorrected), kJ/mol of formula units: -178.4

CIF file:
```
data_CdSiO
_chemical_formula_sum 'Cd2 Si2 O2'
_symmetry_space_group_name_H-M 'P -6 m 2'
_symmetry_Int_Tables_number 187
_symmetry_space_group_name_Hall 'P -6 2'
_cell_length_a 2.7556
_cell_length_b 2.7556
_cell_length_c 15.1062
_cell_angle_alpha 90.00
_cell_angle_beta 90.00
_cell_angle_gamma 120.00
loop_
_atom_site_label
_atom_site_fract_x
_atom_site_fract_y
_atom_site_fract_z
_atom_site_occupancy
Cd1 0.0000 0.0000 0.1949 1
Si1 0.0000 0.0000 0.5000 1
Si2 0.6667 0.3333 0.0000 1
O1 0.6667 0.3333 0.4275 1
```